DFT (GGA-PBE) results for a geometry-optimized Sc2GaB2 structure.

Geometry as POSCAR:
```
Sc2GaB2
1.0
6.096 0.000 0.000
0.000 6.096 0.000
0.000 0.000 3.600
Sc Ga B
4 2 4
direct
0.179 0.321 0.000 Sc
0.321 0.821 0.000 Sc
0.679 0.179 0.000 Sc
0.821 0.679 0.000 Sc
0.000 0.000 0.500 Ga
0.500 0.500 0.500 Ga
0.098 0.598 0.500 B
0.402 0.098 0.500 B
0.598 0.902 0.500 B
0.902 0.402 0.500 B
```

Calculated values
Crystal system   tetragonal
Energy of formation   -0.532 eV per atom
Uncorrected energy   -6.3413 eV/atom
Magnetization   0.00 μB/cell
Volume   13.4 A^3/atom